Entry 1:
Density functional theory data (PBE) for a relaxed Ba2LiEuCu4O8 crystal.

Values from the calculation:
E_form (uncorrected): -1.5167 eV/atom
Energy above the most stable polymorph in this dataset: 0.041 eV per atom
Total DFT energy (no corrections): -6.0220 eV per atom
Crystal system: monoclinic

a b c (Å): 4.0375 3.8953 15.1306
angles (deg): 89.87 90.00 90.00
Each line ends with the local moment (μB).
Sites, in units of the cell vectors:
O 0.0000 0.3855 0.1193  -0.07
O 0.0000 0.3890 0.9176  -0.06
Cu 0.0000 0.8890 0.9170  -0.14
Cu 0.0000 0.3792 0.5468  0.01
O 0.0000 0.3802 0.4212  0.00
O 0.0000 0.3788 0.6754  0.00
O 0.5000 0.8888 0.9099  -0.06
O 0.0000 0.8821 0.2855  -0.01
Eu 0.5000 0.3872 0.0271  6.42
Ba 0.5000 0.3884 0.7911  0.00
Cu 0.0000 0.8854 0.1359  -0.07
O 0.5000 0.8859 0.1227  -0.06
Li 0.0000 0.8798 0.6502  0.00
Cu 0.0000 0.8803 0.4070  0.00
Ba 0.5000 0.3827 0.2692  0.00
O 0.0000 0.8792 0.5310  0.00

Entry 2:
Density functional theory data (PBE) for a relaxed RbTl2OsPt crystal.

Values from the calculation:
Total DFT energy (no corrections): -3.7651 eV per atom
Crystal system: tetragonal
Formation energy: 0.83 eV per atom

a b c (Å): 5.5244 4.9560 5.5244
angles (deg): 90.00 90.00 90.00
Sites, in units of the cell vectors:
Pt 0.0000 0.0000 0.0000
Rb 0.5000 0.5000 0.5000
Os 0.0000 0.5000 0.0000
Tl 0.5000 0.0000 0.0000
Tl 0.0000 0.0000 0.5000

Entry 3:
Density functional theory data (PBE) for a relaxed TiV2Zn crystal.

Values from the calculation:
Total DFT energy (no corrections): -6.7518 eV per atom
Crystal system: tetragonal
Formation energy: 0.10 eV per atom

a b c (Å): 3.1781 3.1781 5.7347
angles (deg): 90.00 90.00 90.00
Sites, in units of the cell vectors:
Ti 0.5000 0.5000 0.5000
Zn 0.5000 0.5000 0.0000
V 0.0000 0.0000 0.7477
V 0.0000 0.0000 0.2523

Entry 4:
Density functional theory data (PBE) for a relaxed K3Hg2Au7 crystal.

Values from the calculation:
Total DFT energy (no corrections): -2.4632 eV per atom
Crystal system: trigonal
Formation energy: -0.23 eV per atom

a b c (Å): 5.7767 5.7767 10.4206
angles (deg): 73.91 73.91 60.00
Sites, in units of the cell vectors:
Hg 0.6679 0.6679 0.9962
K 0.8556 0.8556 0.4333
K 0.0000 0.0000 0.0000
Au 0.5000 0.5000 0.5000
Au 0.4145 0.4145 0.2564
Au 0.9145 0.4145 0.2564
K 0.1444 0.1444 0.5667
Hg 0.3321 0.3321 0.0038
Au 0.5855 0.5855 0.7436
Au 0.5855 0.0855 0.7436
Au 0.0855 0.5855 0.7436
Au 0.4145 0.9145 0.2564

Entry 5:
Density functional theory data (PBE) for a relaxed CeSm12Er3 crystal.

Values from the calculation:
Total DFT energy (no corrections): -4.7337 eV per atom
Crystal system: tetragonal
Formation energy: 0.03 eV per atom

a b c (Å): 5.0916 5.0916 20.3596
angles (deg): 90.00 90.00 90.00
Each line ends with the local moment (μB).
Sites, in units of the cell vectors:
Ce 0.0000 0.0000 0.0000  0.76
Sm 0.5000 0.5000 0.7480  -0.01
Sm 0.0000 0.5000 0.6251  0.00
Er 0.0000 0.0000 0.2500  -0.02
Sm 0.0000 0.5000 0.1247  0.01
Sm 0.0000 0.5000 0.8753  0.01
Er 0.0000 0.0000 0.7500  -0.02
Sm 0.5000 0.0000 0.6251  0.00
Sm 0.0000 0.5000 0.3749  0.00
Sm 0.5000 0.0000 0.1247  0.01
Sm 0.5000 0.5000 0.5000  -0.01
Sm 0.5000 0.5000 0.0000  0.02
Er 0.0000 0.0000 0.5000  -0.01
Sm 0.5000 0.0000 0.8753  0.01
Sm 0.5000 0.0000 0.3749  0.00
Sm 0.5000 0.5000 0.2520  -0.01

Entry 6:
Density functional theory data (PBE) for a relaxed TlAg2Pb crystal.

Values from the calculation:
Energy above the most stable polymorph in this dataset: 0.083 eV per atom
Total DFT energy (no corrections): -2.7781 eV per atom
Crystal system: monoclinic
Formation energy: 0.17 eV per atom

a b c (Å): 3.4780 3.4780 9.5557
angles (deg): 79.49 79.49 59.26
Sites, in units of the cell vectors:
Pb 0.4971 0.4971 0.5001
Ag 0.2520 0.2520 0.2461
Tl 0.6672 0.6672 0.9994
Ag 0.0836 0.0836 0.7543

Entry 7:
Density functional theory data (PBE) for a relaxed GaBi2Pb5 crystal.

Values from the calculation:
Total DFT energy (no corrections): -3.6059 eV per atom
Crystal system: monoclinic
Formation energy: 0.06 eV per atom

a b c (Å): 8.8803 6.7936 9.8516
angles (deg): 104.45 116.79 90.00
Sites, in units of the cell vectors:
Pb 0.9767 0.2500 0.0000
Pb 0.2896 0.8554 0.4354
Bi 0.6282 0.8924 0.7954
Pb 0.0233 0.7500 0.0000
Ga 0.0000 0.0000 0.5000
Pb 0.4487 0.5934 0.1824
Pb 0.7104 0.1446 0.5646
Pb 0.2664 0.9066 0.8176
Pb 0.7336 0.0934 0.1824
Pb 0.1458 0.3554 0.4354
Bi 0.3718 0.1076 0.2046
Pb 0.5513 0.4066 0.8176
Bi 0.1672 0.3924 0.7954
Bi 0.8328 0.6076 0.2046
Ga 0.5000 0.5000 0.5000
Pb 0.8542 0.6446 0.5646

Entry 8:
Density functional theory data (PBE) for a relaxed FeNiIr2 crystal.

Values from the calculation:
Energy above the most stable polymorph in this dataset: 0.205 eV per atom
Total DFT energy (no corrections): -7.8271 eV per atom
Crystal system: orthorhombic
Formation energy: 0.16 eV per atom

a b c (Å): 2.7096 4.5644 4.3946
angles (deg): 90.00 90.00 90.00
Each line ends with the local moment (μB).
Sites, in units of the cell vectors:
Ir 0.0000 0.0000 0.0000  0.28
Ir 0.5000 0.5000 0.0000  0.36
Fe 0.0000 0.5000 0.5000  2.91
Ni 0.5000 0.0000 0.5000  0.58

Entry 9:
Density functional theory data (PBE) for a relaxed RbTlZnBr6 crystal.

Values from the calculation:
E_form (uncorrected): -0.8663 eV/atom
Total DFT energy (no corrections): -2.4935 eV per atom
Crystal system: trigonal

a b c (Å): 7.0646 7.0646 7.7515
angles (deg): 90.02 89.98 59.97
Sites, in units of the cell vectors:
Zn 0.6665 0.6666 0.5000
Br 0.3811 0.6353 0.2964
Br 0.9837 0.3811 0.2964
Br 0.6352 0.3811 0.7036
Br 0.6353 0.9836 0.2963
Tl 0.3334 0.3334 0.5000
Br 0.9835 0.6353 0.7036
Br 0.3811 0.9837 0.7036
Rb 0.0000 0.0000 0.0000

Entry 10:
Density functional theory data (PBE) for a relaxed LaOsAu2 crystal.

Values from the calculation:
Total DFT energy (no corrections): -5.5781 eV per atom
Crystal system: monoclinic
Formation energy: 0.10 eV per atom

a b c (Å): 4.7960 3.4281 5.3988
angles (deg): 73.66 90.00 90.00
Sites, in units of the cell vectors:
Os 0.5000 0.7500 0.7500
La 0.5000 0.2500 0.2500
Au 0.0000 0.6149 0.5290
Au 0.0000 0.8851 0.9710

Entry 11:
Density functional theory data (PBE) for a relaxed Sm2DyTc crystal.

Values from the calculation:
Energy above the most stable polymorph in this dataset: 0.290 eV per atom
Total DFT energy (no corrections): -5.8539 eV per atom
Crystal system: trigonal
Formation energy: 0.25 eV per atom

a b c (Å): 4.9058 4.9058 5.7620
angles (deg): 64.81 64.81 60.00
Sites, in units of the cell vectors:
Sm 0.2690 0.2690 0.1929
Tc 0.0000 0.0000 0.0000
Dy 0.5000 0.5000 0.5000
Sm 0.7310 0.7310 0.8071

Entry 12:
Density functional theory data (PBE) for a relaxed AcPmTeI crystal.

Values from the calculation:
E_form (uncorrected): -1.0964 eV/atom
Total DFT energy (no corrections): -4.4841 eV per atom
Crystal system: cubic

a b c (Å): 5.6217 5.6217 5.6217
angles (deg): 60.00 60.00 60.00
Sites, in units of the cell vectors:
Ac 0.0000 0.0000 0.0000
Pm 0.5000 0.5000 0.5000
I 0.2500 0.2500 0.2500
Te 0.7500 0.7500 0.7500

Entry 13:
Density functional theory data (PBE) for a relaxed YBePS2 crystal.

Values from the calculation:
E_form (uncorrected): -0.5218 eV/atom
Energy above the most stable polymorph in this dataset: 0.000 eV per atom
Total DFT energy (no corrections): -5.2928 eV per atom
Crystal system: tetragonal

a b c (Å): 4.5700 4.5700 4.1721
angles (deg): 90.00 90.00 90.00
Sites, in units of the cell vectors:
Be 0.0000 0.0000 0.0000
S 0.0000 0.5000 0.0000
S 0.5000 0.0000 0.0000
P 0.0000 0.0000 0.5000
Y 0.5000 0.5000 0.5000

Entry 14:
Density functional theory data (PBE) for a relaxed Tb4TmAu5 crystal.

Values from the calculation:
Total DFT energy (no corrections): -4.7987 eV per atom
Crystal system: tetragonal
Formation energy: -0.86 eV per atom

a b c (Å): 3.5737 3.5737 18.2917
angles (deg): 90.00 90.00 90.00
Sites, in units of the cell vectors:
Tb 0.0000 0.0000 0.1980
Au 0.5000 0.5000 0.0956
Tb 0.0000 0.0000 0.3994
Au 0.5000 0.5000 0.9044
Au 0.5000 0.5000 0.2986
Tb 0.0000 0.0000 0.8020
Tm 0.0000 0.0000 0.0000
Au 0.5000 0.5000 0.5000
Au 0.5000 0.5000 0.7014
Tb 0.0000 0.0000 0.6006

Entry 15:
Density functional theory data (PBE) for a relaxed KCaTlCd crystal.

Values from the calculation:
Total DFT energy (no corrections): -1.6999 eV per atom
Crystal system: cubic
Formation energy: -0.10 eV per atom

a b c (Å): 5.6936 5.6936 5.6936
angles (deg): 60.00 60.00 60.00
Sites, in units of the cell vectors:
K 0.0000 0.0000 0.0000
Ca 0.5000 0.5000 0.5000
Tl 0.2500 0.2500 0.2500
Cd 0.7500 0.7500 0.7500

Entry 16:
Density functional theory data (PBE) for a relaxed SiTeW2 crystal.

Values from the calculation:
E_form (uncorrected): 0.4256 eV/atom
Energy above the most stable polymorph in this dataset: 0.132 eV per atom
Total DFT energy (no corrections): -8.1922 eV per atom
Crystal system: orthorhombic

a b c (Å): 4.6884 3.1249 4.6400
angles (deg): 89.97 90.00 90.00
Sites, in units of the cell vectors:
Te 0.5000 0.8751 0.7282
W 0.5000 0.3751 0.2380
W 0.0000 0.8752 0.0330
Si 0.0000 0.3746 0.5008

Entry 17:
Density functional theory data (PBE) for a relaxed Rb2NpBeS4 crystal.

Values from the calculation:
E_form (uncorrected): -1.0269 eV/atom
Total DFT energy (no corrections): -5.4159 eV per atom
Crystal system: orthorhombic

a b c (Å): 7.3115 7.9663 8.3991
angles (deg): 90.00 90.00 90.00
Each line ends with the local moment (μB).
Sites, in units of the cell vectors:
Np 0.0000 0.1867 0.5000  -3.28
S 0.2313 0.0080 0.0000  0.08
Rb 0.9999 0.7419 0.7452  0.00
S 0.7687 0.0081 0.0000  0.08
Np 0.5000 0.8133 0.0000  -3.28
Be 0.5000 0.8262 0.5000  0.00
S 0.0001 0.3172 0.2161  0.08
S 0.7313 0.9920 0.5000  0.08
S 0.0001 0.3172 0.7839  0.08
Rb 0.9999 0.7419 0.2547  0.00
Rb 0.4999 0.2580 0.7546  0.00
S 0.2686 0.9919 0.5000  0.08
S 0.5001 0.6828 0.7161  0.08
Be 0.0000 0.1738 0.0000  0.00
S 0.5001 0.6828 0.2839  0.08
Rb 0.4999 0.2580 0.2454  0.00

Entry 18:
Density functional theory data (PBE) for a relaxed Li2AlTl2 crystal.

Values from the calculation:
Energy above the most stable polymorph in this dataset: 0.000 eV per atom
Total DFT energy (no corrections): -2.4839 eV per atom
Crystal system: tetragonal
Formation energy: -0.02 eV per atom

a b c (Å): 7.8189 7.8189 3.4996
angles (deg): 90.00 90.00 90.00
Sites, in units of the cell vectors:
Tl 0.6477 0.1477 0.0000
Al 0.0000 0.0000 0.0000
Li 0.8462 0.3462 0.5000
Tl 0.8523 0.6477 0.0000
Li 0.3462 0.1538 0.5000
Li 0.6538 0.8462 0.5000
Li 0.1538 0.6538 0.5000
Tl 0.3523 0.8523 0.0000
Al 0.5000 0.5000 0.0000
Tl 0.1477 0.3523 0.0000

Entry 19:
Density functional theory data (PBE) for a relaxed Zn2Ga3Sn crystal.

Values from the calculation:
Energy above the most stable polymorph in this dataset: 0.000 eV per atom
Total DFT energy (no corrections): -2.5661 eV per atom
Crystal system: monoclinic
Formation energy: 0.04 eV per atom

a b c (Å): 6.6414 5.2737 6.6395
angles (deg): 90.00 90.50 90.00
Sites, in units of the cell vectors:
Zn 0.7498 0.5000 0.2508
Ga 0.0570 0.2500 0.0570
Ga 0.9430 0.7500 0.9430
Zn 0.7498 0.0000 0.2508
Sn 0.3636 0.2500 0.3640
Ga 0.4048 0.7500 0.1043
Zn 0.2502 0.5000 0.7492
Ga 0.1061 0.7500 0.4032
Ga 0.5952 0.2500 0.8957
Zn 0.2502 0.0000 0.7492
Ga 0.8939 0.2500 0.5968
Sn 0.6364 0.7500 0.6360

Entry 20:
Density functional theory data (PBE) for a relaxed ZrCdPb2 crystal.

Values from the calculation:
Total DFT energy (no corrections): -4.2301 eV per atom
Crystal system: tetragonal
Formation energy: -0.01 eV per atom

a b c (Å): 3.2445 3.2445 10.0888
angles (deg): 90.00 90.00 90.04
Sites, in units of the cell vectors:
Pb 0.0000 0.0000 0.9703
Zr 0.0000 0.0000 0.5176
Cd 0.5000 0.5000 0.7278
Pb 0.5000 0.5000 0.2844